LaNiSn2 | Alexandria via LeMat-Bulk | GGA-PBE | optimized geometry; SG = Cm; calculated formation energy = -509.2 meV/atom; DFT total energy = -20.751 eV/f.u.; theoretical density = 7.1 g/cm³; total magnetization = 0.00 μB per cell
1.0
1.4621 3.9065 -1.8237
0.9405 -2.1692 -3.8926
-5.7638 0.0800 1.2325
La Ni Sn
1 1 2
Direct
0.5624 0.4375 0.1248 La
0.8126 0.1860 0.6253 Ni
0.9153 0.7892 0.8305 Sn
0.2097 0.0872 0.4194 Sn

***

PuNbN3 | Alexandria via LeMat-Bulk | GGA-PBE | optimized geometry; SG = Cmc2_1; DFT total energy = -54.002 eV/f.u.; theoretical density = 10.1 g/cm³; total magnetization = 7.11 μB per cell; formation energy without anion corrections = -0.9249 eV per atom
1.0
-0.7180 -2.6639 1.9639
4.6646 -2.4189 -1.5756
3.5772 4.2198 4.1117
Pu N Nb
2 6 2
Direct
0.1787 0.0357 0.3573 Pu
0.8213 0.5357 0.6427 Pu
0.9713 0.6955 0.9425 N
0.0287 0.1955 0.0575 N
0.3808 0.3116 0.7617 N
0.3164 0.8157 0.6329 N
0.6836 0.3157 0.3671 N
0.6192 0.8116 0.2383 N
0.5426 0.4723 0.0852 Nb
0.4574 0.9723 0.9148 Nb

***

TbGaCu2Ni2 | Alexandria via LeMat-Bulk | GGA-PBE | optimized geometry; SG = P4/mmm; calculated formation energy = 117.2 meV/atom; DFT total energy = -26.709 eV/f.u.; theoretical density = 7.6 g/cm³; total magnetization = 0.00 μB per cell
1.0
-2.3729 1.5877 3.2880
-1.3781 -4.0208 0.9471
4.2133 -0.6535 3.3563
Tb Cu Ni Ga
1 2 2 1
Direct
0.0000 0.0000 0.5000 Tb
0.5000 0.5000 0.2565 Cu
0.5000 0.5000 0.7435 Cu
0.0000 0.5000 0.0000 Ni
0.5000 0.0000 0.0000 Ni
0.0000 0.0000 0.0000 Ga